No. 1
Entry from Alexandria via LeMat-Bulk: crystalline DyGa2Ni at its relaxed geometry (GGA-PBE).

Calculated values
Formation energy from the elements (meV/atom): -628

Lattice parameters (Å, degrees): 15.3967 6.6631 5.4340 90.00 90.00 90.00
Last column: nearest neighbours and their distance in Å.
Fractional positions:
Dy: 0.1059 0.2500 0.2393  3 Ni 2.85-3.04, 6 Ga 2.97-3.17
Dy: 0.1441 0.7500 0.4814  3 Ni 2.85-3.10, 6 Ga 2.99-3.15
Dy: 0.3559 0.2500 0.9814  3 Ni 2.85-3.10, 6 Ga 2.99-3.15
Dy: 0.3941 0.7500 0.7393  3 Ni 2.85-3.04, 6 Ga 2.97-3.17
Dy: 0.6059 0.2500 0.2607  3 Ni 2.85-3.04, 6 Ga 2.97-3.17
Dy: 0.6441 0.7500 0.0186  3 Ni 2.85-3.10, 6 Ga 2.99-3.15
Dy: 0.8559 0.2500 0.5186  3 Ni 2.85-3.10, 6 Ga 2.99-3.15
Dy: 0.8941 0.7500 0.7607  3 Ni 2.85-3.04, 6 Ga 2.97-3.17
Ga: 0.0350 0.0536 0.7482  3 Ni 2.50-2.53, 1 Ga 2.62
Ga: 0.0350 0.4464 0.7482  3 Ni 2.50-2.53, 1 Ga 2.62
Ga: 0.2137 0.5546 0.9715  3 Ni 2.50-2.55, 1 Ga 2.60
Ga: 0.2137 0.9454 0.9715  3 Ni 2.50-2.55, 1 Ga 2.60
Ga: 0.2863 0.0546 0.4715  3 Ni 2.50-2.55, 1 Ga 2.60
Ga: 0.2863 0.4454 0.4715  3 Ni 2.50-2.55, 1 Ga 2.60
Ga: 0.4650 0.5536 0.2482  3 Ni 2.50-2.53, 1 Ga 2.62
Ga: 0.4650 0.9464 0.2482  3 Ni 2.50-2.53, 1 Ga 2.62
Ga: 0.5350 0.0536 0.7518  3 Ni 2.50-2.53, 1 Ga 2.62
Ga: 0.5350 0.4464 0.7518  3 Ni 2.50-2.53, 1 Ga 2.62
Ga: 0.7137 0.5546 0.5285  3 Ni 2.50-2.55, 1 Ga 2.60
Ga: 0.7137 0.9454 0.5285  3 Ni 2.50-2.55, 1 Ga 2.60
Ga: 0.7863 0.0546 0.0285  3 Ni 2.50-2.55, 1 Ga 2.60
Ga: 0.7863 0.4454 0.0285  3 Ni 2.50-2.55, 1 Ga 2.60
Ga: 0.9650 0.5536 0.2518  3 Ni 2.50-2.53, 1 Ga 2.62
Ga: 0.9650 0.9464 0.2518  3 Ni 2.50-2.53, 1 Ga 2.62
Ni: 0.0729 0.7500 0.9968  6 Ga 2.50-2.53
Ni: 0.1758 0.2500 0.7254  6 Ga 2.50-2.55
Ni: 0.3242 0.7500 0.2254  6 Ga 2.50-2.55
Ni: 0.4271 0.2500 0.4968  6 Ga 2.50-2.53
Ni: 0.5729 0.7500 0.5032  6 Ga 2.50-2.53
Ni: 0.6758 0.2500 0.7746  6 Ga 2.50-2.55
Ni: 0.8242 0.7500 0.2746  6 Ga 2.50-2.55
Ni: 0.9271 0.2500 0.0032  6 Ga 2.50-2.53

---

No. 2
Entry from Alexandria via LeMat-Bulk: crystalline DyBe2V at its relaxed geometry (GGA-PBE).

Calculated values
Formation energy from the elements (meV/atom): 589

Lattice parameters (Å, degrees): 7.6357 7.6357 7.6357 23.74 23.74 23.74
Last column: nearest neighbours and their distance in Å.
Fractional positions:
Dy: 0.0000 0.0000 0.0000  6 Be 2.82, 6 Dy 3.14
Be: 0.2364 0.2364 0.2364  3 V 2.39
Be: 0.7636 0.7636 0.7636  3 V 2.39
V: 0.5000 0.5000 0.5000  6 Be 2.39

---

No. 3
Entry from Alexandria via LeMat-Bulk: crystalline Pu2Al6SiAu at its relaxed geometry (GGA-PBE).

Calculated values
Energy relative to the elements, uncorrected (kJ/mol of atoms): -12.1

Lattice parameters (Å, degrees): 5.3734 8.3803 9.0918 90.00 90.00 90.00
Last column: nearest neighbours and their distance in Å.
Fractional positions:
Pu: 0.2500 0.0268 0.2353  9 Al 3.11-3.36, 2 Si 3.27
Pu: 0.2500 0.4732 0.2353  9 Al 3.11-3.36, 2 Si 3.27
Pu: 0.7500 0.5268 0.7647  9 Al 3.11-3.36, 2 Si 3.27
Pu: 0.7500 0.9732 0.7647  9 Al 3.11-3.36, 2 Si 3.27
Al: 0.0022 0.7500 0.4960  6 Al 2.61-2.71, 1 Au 2.66, 1 Si 2.80
Al: 0.0060 0.7500 0.0108  1 Au 2.53, 1 Si 2.57, 2 Al 2.62-2.75
Al: 0.2500 0.5044 0.5933  1 Au 2.59, 1 Si 2.59, 4 Al 2.61-2.65
Al: 0.2500 0.9956 0.5933  1 Au 2.59, 1 Si 2.59, 4 Al 2.61-2.65
Al: 0.4940 0.7500 0.0108  1 Au 2.53, 1 Si 2.57, 2 Al 2.62-2.75
Al: 0.4978 0.7500 0.4960  6 Al 2.61-2.71, 1 Au 2.66, 1 Si 2.80
Al: 0.5022 0.2500 0.5040  6 Al 2.61-2.71, 1 Au 2.66, 1 Si 2.80
Al: 0.5060 0.2500 0.9892  1 Au 2.53, 1 Si 2.57, 2 Al 2.62-2.75
Al: 0.7500 0.0044 0.4067  1 Au 2.59, 1 Si 2.59, 4 Al 2.61-2.65
Al: 0.7500 0.4956 0.4067  1 Au 2.59, 1 Si 2.59, 4 Al 2.61-2.65
Al: 0.9940 0.2500 0.9892  1 Au 2.53, 1 Si 2.57, 2 Al 2.62-2.75
Al: 0.9978 0.2500 0.5040  6 Al 2.61-2.71, 1 Au 2.66, 1 Si 2.80
Si: 0.2500 0.7500 0.7671  6 Al 2.57-2.80
Si: 0.7500 0.2500 0.2329  6 Al 2.57-2.80
Au: 0.2500 0.2500 0.7555  6 Al 2.53-2.66
Au: 0.7500 0.7500 0.2445  6 Al 2.53-2.66

---

Number 1: E_tot -4.74 eV/atom, N(E_F) 0.5309 states/eV per atom. Number 2: E_tot -4.70 eV/atom, N(E_F) 0.8666 states/eV per atom. Number 3: E_tot -6.11 eV/atom, N(E_F) 2.1345 states/eV per atom.